Record 1
This record from Alexandria describes a geometry-optimized LiMo structure. The functional is GGA-PBE.

Unit cell a=4.3691 b=4.3691 c=4.3691 alpha=60.00 beta=60.00 gamma=60.00
Closest atoms and distances in Å follow each position.
Positions (direct):
Li: 0.2500 0.2500 0.2500  4 Mo 2.68, 4 Li 2.68
Li: 0.0000 0.0000 0.0000  4 Mo 2.68, 4 Li 2.68
Mo: 0.7500 0.7500 0.7500  4 Mo 2.68, 4 Li 2.68
Mo: 0.5000 0.5000 0.5000  4 Mo 2.68, 4 Li 2.68

Record 2
This record from Alexandria describes a geometry-optimized LiMo structure. The functional is GGA-PBE.

Unit cell a=10.1277 b=10.1277 c=10.1277 alpha=15.53 beta=15.53 gamma=15.53
Closest atoms and distances in Å follow each position.
Positions (direct):
Li: 0.7524 0.7524 0.7524  6 Li 2.74, 3 Mo 2.92
Li: 0.9976 0.9976 0.9976  6 Li 2.74, 3 Mo 2.92
Mo: 0.5010 0.5010 0.5010  9 Mo 2.74-2.91, 3 Li 2.92
Mo: 0.2490 0.2490 0.2490  9 Mo 2.74-2.91, 3 Li 2.92

Record 3
This record from Alexandria describes a geometry-optimized LiMo structure. The functional is GGA-PBE.

Unit cell a=7.5232 b=7.5232 c=4.8048 alpha=90.00 beta=90.00 gamma=90.00
Closest atoms and distances in Å follow each position.
Positions (direct):
Li: 0.7489 0.9307 0.0000  4 Li 2.62-2.77, 3 Mo 2.68-2.91
Li: 0.7489 0.0693 0.5000  4 Li 2.62-2.77, 3 Mo 2.68-2.91
Li: 0.0693 0.7489 0.0000  4 Li 2.62-2.77, 3 Mo 2.68-2.91
Li: 0.9307 0.7489 0.5000  4 Li 2.62-2.77, 3 Mo 2.68-2.91
Li: 0.0693 0.2511 0.5000  4 Li 2.62-2.77, 3 Mo 2.68-2.91
Li: 0.2511 0.9307 0.5000  4 Li 2.62-2.77, 3 Mo 2.68-2.91
Li: 0.9307 0.2511 0.0000  4 Li 2.62-2.77, 3 Mo 2.68-2.91
Li: 0.2511 0.0693 0.0000  4 Li 2.62-2.77, 3 Mo 2.68-2.91
Mo: 0.7372 0.5510 0.0000  4 Mo 2.52-2.58, 1 Li 2.68
Mo: 0.4490 0.2628 0.5000  4 Mo 2.52-2.58, 1 Li 2.68
Mo: 0.2628 0.5510 0.5000  4 Mo 2.52-2.58, 1 Li 2.68
Mo: 0.2628 0.4490 0.0000  4 Mo 2.52-2.58, 1 Li 2.68
Mo: 0.7372 0.4490 0.5000  4 Mo 2.52-2.58, 1 Li 2.68
Mo: 0.5510 0.7372 0.5000  4 Mo 2.52-2.58, 1 Li 2.68
Mo: 0.5510 0.2628 0.0000  4 Mo 2.52-2.58, 1 Li 2.68
Mo: 0.4490 0.7372 0.0000  4 Mo 2.52-2.58, 1 Li 2.68

no.,ΔE to the lowest computed polymorph (kcal/mol of atoms),magnetization (μB/f.u.),energy of formation from the pure elements (eV per atom)
1,8.00,0.00,0.549
2,2.96,0.00,0.330
3,8.02,0.00,0.549